[1]
{"formula": "CePaCN", "functional": "GGA-PBE", "state": "optimized geometry", "cell": [[3.589, 0.000, 0.000], [0.000, 3.589, 0.000], [0.000, 0.000, 5.050]], "species": ["Ce", "Pa", "C", "N"], "fractional_positions": [[0.000, 0.000, 0.000], [0.500, 0.500, 0.500], [0.500, 0.500, 0.000], [0.000, 0.000, 0.500]], "dos_ef_per_ev_atom": 1.12, "total_energy_ev_per_atom": -9.138, "raw_formation_energy_ev_per_atom": -0.893}



[2]
{"formula": "Li2PmSi4", "functional": "GGA-PBE", "state": "optimized geometry", "cell": [[2.019, 1.166, 9.084], [-2.019, 1.166, 9.084], [0.000, -2.332, 9.084]], "species": ["Li", "Li", "Pm", "Si", "Si", "Si", "Si"], "fractional_positions": [[0.138, 0.138, 0.138], [0.862, 0.862, 0.862], [0.000, 0.000, 0.000], [0.239, 0.239, 0.239], [0.404, 0.404, 0.404], [0.596, 0.596, 0.596], [0.761, 0.761, 0.761]], "dos_ef_per_ev_atom": 0.31, "total_energy_ev_per_atom": -4.584, "raw_formation_energy_ev_per_atom": -0.259, "polymorph_energy_mev_per_atom": 6.9}



[3]
{"formula": "ZrTiAl", "functional": "GGA-PBE", "state": "optimized geometry", "cell": [[2.400, -7.234, 0.000], [2.400, 7.234, 0.000], [0.000, 0.000, 3.230]], "species": ["Zr", "Zr", "Ti", "Ti", "Al", "Al"], "fractional_positions": [[0.173, 0.827, 0.000], [0.827, 0.173, 0.000], [0.000, 0.000, 0.500], [0.500, 0.500, 0.000], [0.351, 0.649, 0.500], [0.649, 0.351, 0.500]], "dos_ef_per_ev_atom": 1.11, "total_energy_ev_per_atom": -7.016, "polymorph_energy_mev_per_atom": 49.2}



[4]
{"formula": "PSeBr2", "functional": "GGA-PBE", "state": "optimized geometry", "cell": [[3.928, 0.000, 0.000], [0.000, 3.928, 0.000], [0.000, 0.000, 7.612]], "species": ["P", "Se", "Br", "Br"], "fractional_positions": [[0.000, 0.000, 0.000], [0.500, 0.500, 0.999], [0.000, 0.000, 0.295], [0.500, 0.500, 0.690]], "dos_ef_per_ev_atom": 0.23, "total_energy_ev_per_atom": -2.989, "raw_formation_energy_ev_per_atom": 0.071, "polymorph_energy_mev_per_atom": 128.8}



[5]
{"formula": "SiTeSe", "functional": "GGA-PBE", "state": "optimized geometry", "cell": [[6.449, 0.000, 0.000], [-3.224, 5.585, 0.000], [0.000, 0.000, 7.611]], "species": ["Si", "Si", "Si", "Te", "Te", "Te", "Se", "Se", "Se"], "fractional_positions": [[0.022, 0.467, 0.000], [0.446, 0.978, 0.333], [0.533, 0.554, 0.667], [0.322, 0.290, 0.400], [0.710, 0.032, 0.067], [0.968, 0.678, 0.733], [0.063, 0.659, 0.269], [0.341, 0.405, 0.936], [0.595, 0.937, 0.603]], "total_energy_ev_per_atom": -4.136, "raw_formation_energy_ev_per_atom": -0.120, "polymorph_energy_mev_per_atom": 47.9}



[6]
{"formula": "Cd3GeRh", "functional": "GGA-PBE", "state": "optimized geometry", "cell": [[5.002, 0.000, 0.000], [0.000, 5.002, 0.000], [0.000, 0.000, 5.002]], "species": ["Cd", "Cd", "Cd", "Ge", "Rh"], "fractional_positions": [[0.000, 0.000, 0.500], [0.000, 0.500, 0.000], [0.500, 0.000, 0.000], [0.000, 0.000, 0.000], [0.500, 0.500, 0.500]], "dos_ef_per_ev_atom": 0.99, "total_energy_ev_per_atom": -2.105, "polymorph_energy_mev_per_atom": 373.5}



[7]
{"formula": "AcNpCd2O8", "functional": "GGA-PBE", "state": "optimized geometry", "cell": [[4.891, 0.000, 0.000], [0.000, 7.495, 0.000], [-0.008, 0.000, 4.923]], "species": ["Ac", "Np", "Cd", "Cd", "O", "O", "O", "O", "O", "O", "O", "O"], "fractional_positions": [[0.000, 0.000, 0.000], [0.000, 0.500, 0.000], [0.500, 0.261, 0.500], [0.500, 0.739, 0.500], [0.220, 0.291, 0.857], [0.220, 0.709, 0.857], [0.236, 0.000, 0.473], [0.247, 0.500, 0.320], [0.753, 0.500, 0.680], [0.764, 0.000, 0.527], [0.780, 0.291, 0.143], [0.780, 0.709, 0.143]], "dos_ef_per_ev_atom": 0.86, "total_energy_ev_per_atom": -6.737, "raw_formation_energy_ev_per_atom": -1.858}



[8]
{"formula": "MgPdC2I", "functional": "GGA-PBE", "state": "optimized geometry", "cell": [[4.274, 0.000, 0.000], [0.000, 4.274, 0.000], [0.000, 0.000, 5.123]], "species": ["Mg", "Pd", "C", "C", "I"], "fractional_positions": [[0.000, 0.000, 0.000], [0.500, 0.500, 0.000], [0.000, 0.500, 0.500], [0.500, 0.000, 0.500], [0.500, 0.500, 0.500]], "dos_ef_per_ev_atom": 0.68, "total_energy_ev_per_atom": -3.043, "raw_formation_energy_ev_per_atom": 2.314}



[9]
{"formula": "MgCdPb3", "functional": "GGA-PBE", "state": "optimized geometry", "cell": [[7.011, 0.000, 0.000], [0.000, 4.843, 0.000], [0.000, 0.000, 16.560]], "species": ["Mg", "Mg", "Mg", "Mg", "Cd", "Cd", "Cd", "Cd", "Pb", "Pb", "Pb", "Pb", "Pb", "Pb", "Pb", "Pb", "Pb", "Pb", "Pb", "Pb"], "fractional_positions": [[0.092, 0.250, 0.155], [0.408, 0.750, 0.655], [0.592, 0.250, 0.345], [0.908, 0.750, 0.845], [0.161, 0.250, 0.557], [0.339, 0.750, 0.057], [0.661, 0.250, 0.943], [0.839, 0.750, 0.443], [0.079, 0.250, 0.358], [0.144, 0.250, 0.958], [0.161, 0.250, 0.751], [0.339, 0.750, 0.251], [0.356, 0.750, 0.458], [0.421, 0.750, 0.858], [0.579, 0.250, 0.142], [0.644, 0.250, 0.542], [0.661, 0.250, 0.749], [0.839, 0.750, 0.249], [0.856, 0.750, 0.042], [0.921, 0.750, 0.642]], "dos_ef_per_ev_atom": 0.35, "total_energy_ev_per_atom": -2.719, "polymorph_energy_mev_per_atom": 0.4}



[10]
{"formula": "DyInGaNi", "functional": "GGA-PBE", "state": "optimized geometry", "cell": [[0.000, 3.361, 3.361], [3.361, 0.000, 3.361], [3.361, 3.361, 0.000]], "species": ["Dy", "In", "Ga", "Ni"], "fractional_positions": [[0.000, 0.000, 0.000], [0.500, 0.500, 0.500], [0.250, 0.250, 0.250], [0.750, 0.750, 0.750]], "dos_ef_per_ev_atom": 0.78, "total_energy_ev_per_atom": -4.369}



Q: What is the formula in the second record?
A: Li2PmSi4



Q: Which formula does entry 4 have?
A: PSeBr2